Compound: SrAsH
Source: the Alexandria database
Functional: PBE-GGA
Structure: relaxed

a = 3.8142 Å, b = 8.2529 Å, c = 8.2289 Å
α = 90.00°, β = 90.00°, γ = 90.00°
Closest atoms and distances in Å follow each position.
Space group Cmcm (No. 63)
One atom of each set of equivalent atoms:
Sr (0.0000, 0.0000, 0.0000)  2 H 2.52
As (0.0000, 0.3038, 0.2500)  2 H 1.91
H (0.0000, 0.1764, 0.7500)  2 As 1.91

Summary:
- crystal system = orthorhombic
- relative energy among the computed polymorphs (meV per atom) = 160.4